VASP calculation (GGA-PBE) on an optimized crystal structure of HoEr2Th3S6.

The structure belongs to space group C2/m (No. 12); the cell edges are 6.7135, 11.5669 and 7.1295 Å and the angles 90.00°, 108.11° and 90.00°. The inequivalent atoms are Ho at (0.0000, 0.0000, 0.0000), Er at (0.0000, 0.3333, 0.0000), Th at (0.0000, 0.1662, 0.5000), Th at (0.0000, 0.5000, 0.5000), S at (0.2421, 0.5000, 0.2295) and S at (0.2439, 0.1672, 0.2299).

Its uncorrected formation energy is -1.892 eV per atom. As for the total energy: -6.95 eV per atom.

VASP calculation (GGA-PBE) on an optimized crystal structure of Ho3Er2ThS6.

The structure belongs to space group C2/m (No. 12); the cell edges are 17.0109, 3.8993 and 7.8409 Å and the angles 90.00°, 103.03° and 90.00°. The inequivalent atoms are Ho at (0.0000, 0.0000, 0.0000), Ho at (0.1624, 0.5000, 0.3340), Er at (0.1645, 0.5000, 0.8297), Th at (0.0000, 0.0000, 0.5000), S at (0.0015, 0.5000, 0.7632), S at (0.1685, 0.0000, 0.0824) and S at (0.1727, 0.0000, 0.5883).

Its uncorrected formation energy is -1.932 eV per atom. As for the total energy: -6.52 eV per atom.